1.
Ti2NiIr | Alexandria via LeMat-Bulk | PBE-GGA | optimized geometry; raw total energy = -62.2 eV/cell; SG = I-42d (122); energy relative to the lowest polymorph listed for this composition = 467 meV per atom; formation energy = -0.1697 eV/atom
1.0
-0.6702 3.3803 5.8600
-6.1634 -2.7329 0.8715
-2.3294 -1.7141 4.6656
Ni Ti Ir
2 4 2
Direct
0.5000 0.5000 0.0000
0.2500 0.7500 0.5000
0.3750 0.3812 0.7500
0.8750 0.8688 0.7500
0.1312 0.6250 0.2500
0.6188 0.1250 0.2500
0.0000 0.0000 0.0000
0.7500 0.2500 0.5000

2.
Ti3Ni2Ir | Alexandria via LeMat-Bulk | PBE-GGA | optimized geometry; raw total energy = -47.4 eV/cell; SG = Cmmm (65); energy relative to the lowest polymorph listed for this composition = 0 meV per atom; formation energy = -0.5477 eV/atom
1.0
-0.6412 2.8803 -0.0746
-2.9746 -0.5816 3.1104
6.0957 1.4364 3.0662
Ti Ni Ir
3 2 1
Direct
0.5000 0.1749 0.3498
0.5000 0.5000 0.0000
0.5000 0.8251 0.6502
0.0000 0.3479 0.6957
0.0000 0.6521 0.3043
0.0000 0.0000 0.0000

3.
TiNi2Ir2 | Alexandria via LeMat-Bulk | PBE-GGA | optimized geometry; raw total energy = -76.2 eV/cell; SG = P4/mbm (127); energy relative to the lowest polymorph listed for this composition = 0 meV per atom; formation energy = -0.1829 eV/atom
1.0
-0.4543 -2.4355 -6.5868
-6.1351 -3.0743 1.5598
-1.3373 2.2865 -0.7532
Ir Ni Ti
4 4 2
Direct
0.6754 0.1754 0.5000
0.8246 0.6754 0.5000
0.3246 0.8246 0.5000
0.1754 0.3246 0.5000
0.6219 0.8781 0.0000
0.8781 0.3781 0.0000
0.3781 0.1219 0.0000
0.1219 0.6219 0.0000
0.5000 0.5000 0.0000
0.0000 0.0000 0.0000

4.
Ti4NiIr | Alexandria via LeMat-Bulk | PBE-GGA | optimized geometry; raw total energy = -49.2 eV/cell; SG = P4/mmm (123); energy relative to the lowest polymorph listed for this composition = 0 meV per atom; formation energy = -0.4920 eV/atom
1.0
3.0532 -0.0006 0.0002
0.0006 3.0532 0.0002
-0.0004 -0.0004 9.7283
Ti Ni Ir
4 1 1
Direct
0.0000 0.0000 0.6654
0.0000 0.0000 0.3346
0.5000 0.5000 0.1548
0.5000 0.5000 0.8452
0.0000 0.0000 0.0000
0.5000 0.5000 0.5000

5.
Ti8Ni3Ir2 | Alexandria via LeMat-Bulk | PBE-GGA | optimized geometry; raw total energy = -101.4 eV/cell; SG = C2/m (12); formation energy = -0.2404 eV/atom
1.0
5.1166 0.0000 0.6155
0.0000 7.1571 0.0000
-1.4329 -3.5785 5.5496
Ni Ti Ir
3 8 2
Direct
0.5000 0.0000 0.0000
0.0000 0.8297 0.0000
0.0000 0.1703 0.0000
0.8944 0.5929 0.1857
0.6086 0.5727 0.7672
0.3914 0.8055 0.2328
0.8259 0.1785 0.3569
0.1056 0.4071 0.8143
0.3914 0.4273 0.2328
0.1741 0.8215 0.6431
0.6086 0.1945 0.7672
0.3282 0.2093 0.4186
0.6718 0.7907 0.5814

6.
Ti6NiIr | Alexandria via LeMat-Bulk | PBE-GGA | optimized geometry; raw total energy = -64.4 eV/cell; SG = Cmmm (65); energy relative to the lowest polymorph listed for this composition = 0 meV per atom; formation energy = -0.3024 eV/atom
1.0
-0.2616 3.8544 2.3018
-4.7265 1.1247 -2.4204
-0.7506 -2.7937 4.5929
Ir Ti Ni
1 6 1
Direct
0.5000 0.0000 0.0000
0.0000 0.7525 0.7525
0.0000 0.2488 0.7512
0.0000 0.7512 0.2488
0.5000 0.0000 0.5000
0.5000 0.5000 0.0000
0.0000 0.2475 0.2475
0.5000 0.5000 0.5000

7.
Ti6Ni5Ir | Alexandria via LeMat-Bulk | PBE-GGA | optimized geometry; raw total energy = -90.7 eV/cell; SG = C2/m (12); formation energy = -0.4647 eV/atom
1.0
-1.8397 3.8101 1.6165
-5.1188 -2.4139 -0.1322
4.4021 -2.9829 5.2533
Ti Ni Ir
6 5 1
Direct
0.8664 0.5769 0.6566
0.8666 0.0794 0.6567
0.4999 0.7467 0.9999
0.5001 0.2533 0.0001
0.1334 0.9206 0.3433
0.1336 0.4231 0.3434
0.5934 0.1648 0.3299
0.4106 0.3369 0.6741
0.4066 0.8352 0.6701
0.5894 0.6631 0.3259
0.0000 0.5000 0.0000
0.0000 0.0000 0.0000

8.
Ti2NiIr | Alexandria via LeMat-Bulk | PBE-GGA | optimized geometry; raw total energy = -32.9 eV/cell; SG = P4/mmm (123); energy relative to the lowest polymorph listed for this composition = 27 meV per atom; formation energy = -0.6093 eV/atom
1.0
-1.6134 -0.3490 -2.4716
-0.8351 -2.6979 0.9262
-5.1478 2.6200 2.9904
Ti Ni Ir
2 1 1
Direct
0.0000 0.0000 0.2384
0.0000 0.0000 0.7616
0.5000 0.5000 0.0000
0.5000 0.5000 0.5000

Question: raw total energy of number 6 (Ti6NiIr)?
Answer: -64.4 eV/cell